<w>
Below is a geometry-optimized Cd2BiO2 structure, with properties calculated at the PBE-GGA level.

```
Cd2BiO2
1.0
7.5021 0.0000 0.0000
0.0000 7.5021 0.0000
0.0000 0.0000 3.1154
Bi O Cd
2 4 4
Cartesian
0.0000 0.0000 0.0000
3.7511 3.7511 0.0000
1.0033 4.7543 1.5577
4.7543 6.4988 1.5577
6.4988 2.7478 1.5577
2.7478 1.0033 1.5577
2.7891 6.5401 0.0000
6.5401 4.7130 0.0000
4.7130 0.9620 0.0000
0.9620 2.7891 0.0000
```

Computed properties:
Density of states at the Fermi level (states/eV per cell): 5.3
Volume (Å³ per cell): 175.3
SG: P4/mbm, No. 127

***

<x>
Below is a geometry-optimized Cd2BiO2 structure, with properties calculated at the PBE-GGA level.

```
Cd2BiO2
1.0
-1.9376 -3.4638 1.3233
0.8832 -1.8812 -3.6310
3.7980 -4.3567 0.7708
Bi O Cd
1 2 2
Cartesian
0.0000 0.0000 0.0000
0.6666 -5.2465 0.4701
2.0770 -4.4552 -2.0070
0.8027 -3.1903 -0.5621
1.9409 -6.5113 -0.9748
```

Computed properties:
Density of states at the Fermi level (states/eV per cell): 3.3
Volume (Å³ per cell): 87.9
SG: I4/mmm, No. 139

***

Calculated relative energies: <w> 306; <x> 0, given in meV/atom

***

<w>
Below is a geometry-optimized Cd2BiO4 structure, with properties calculated at the PBE-GGA level.

```
Cd2BiO4
1.0
-0.4738 3.4439 0.1071
-3.1887 -0.5859 4.7343
8.7669 1.0185 6.0307
Cd Bi O
4 2 8
Cartesian
-0.7143 1.4564 6.4775
5.1019 2.2290 7.3655
0.0025 1.6475 3.5067
5.8188 2.4200 4.3947
2.7891 0.2163 5.3825
0.0000 0.0000 0.0000
4.7116 0.3778 8.6931
5.0142 0.5207 5.4374
-2.0613 1.3377 4.3367
2.4672 1.9716 3.9880
2.6373 1.9049 6.8842
7.1658 2.5387 6.5354
0.5640 -0.0881 5.3277
0.8666 0.0548 2.0719
```

Computed properties:
Density of states at the Fermi level (states/eV per cell): 3.6
Volume (Å³ per cell): 213.3
SG: Pbam, No. 55

***

<x>
Below is a geometry-optimized Cd2BiO4 structure, with properties calculated at the PBE-GGA level.

```
Cd2BiO4
1.0
3.6627 0.0000 0.0000
0.0000 5.6240 -0.4121
-1.8314 -3.1122 6.1327
Cd Bi O
2 1 4
Cartesian
1.8314 3.2375 1.5022
0.0000 -0.7256 4.2184
0.0000 0.0000 0.0000
1.8314 -2.0414 4.1756
0.0000 4.5533 1.5451
1.8314 1.3011 0.4912
0.0000 1.2108 5.2295
```

Computed properties:
Density of states at the Fermi level (states/eV per cell): 1.4
Volume (Å³ per cell): 121.6
SG: C2/m, No. 12

***

Calculated relative energies: <w> 6; <x> 0, given in meV/atom

***

<w>
Below is a geometry-optimized CdBiO2 structure, with properties calculated at the PBE-GGA level.

```
CdBiO2
1.0
3.2083 -2.0905 2.1275
-0.9762 -2.8666 3.1654
0.6324 -4.2851 -0.6543
Bi O Cd
1 2 1
Cartesian
1.4323 -4.6211 2.3193
0.7161 -2.3105 1.1597
2.1484 -6.9316 3.4790
0.0000 0.0000 0.0000
```

Computed properties:
Density of states at the Fermi level (states/eV per cell): 0.9
Volume (Å³ per cell): 59.4
SG: Fm-3m, No. 225

***

<x>
Below is a geometry-optimized CdBiO2 structure, with properties calculated at the PBE-GGA level.

```
CdBiO2
1.0
2.7228 6.5299 1.0591
2.5398 5.0440 4.3912
5.3351 4.2366 2.1823
Bi O Cd
1 2 1
Cartesian
5.2989 7.9053 3.8163
9.4489 14.0967 6.8052
1.1488 1.7139 0.8274
0.0000 0.0000 0.0000
```

Computed properties:
Density of states at the Fermi level (states/eV per cell): 1.1
Volume (Å³ per cell): 79.0
SG: R-3m, No. 166

***

<y>
Below is a geometry-optimized CdBiO2 structure, with properties calculated at the PBE-GGA level.

```
CdBiO2
1.0
-1.1130 -4.9809 -1.0001
4.1719 -1.4804 2.7299
-1.6652 -3.4709 5.6169
Bi O Cd
2 4 2
Cartesian
0.0000 0.0000 0.0000
-0.6244 -5.8412 2.7408
-0.5838 -4.1362 1.1263
2.0454 -2.4452 2.9794
-0.0770 -5.0350 4.8776
1.4028 -8.2480 5.7099
1.5294 -3.2306 0.8649
2.0181 -4.0910 4.6058
```

Computed properties:
Density of states at the Fermi level (states/eV per cell): 1.5
Volume (Å³ per cell): 155.0
SG: I-42d, No. 122

***

Calculated relative energies: <w> 321; <x> 13; <y> 0, given in meV/atom

***

<w>
Below is a geometry-optimized CdBiO structure, with properties calculated at the PBE-GGA level.

```
CdBiO
1.0
-2.4922 2.2868 -0.5956
0.6063 -1.0843 3.2019
3.7948 4.3304 0.7478
Bi O Cd
1 1 1
Cartesian
3.6166 4.1270 0.7127
1.9677 2.7716 2.4079
0.1194 2.9647 0.9813
```

Computed properties:
Density of states at the Fermi level (states/eV per cell): 0.8
Volume (Å³ per cell): 59.3
SG: P3m1, No. 156

***

<x>
Below is a geometry-optimized CdBiO structure, with properties calculated at the PBE-GGA level.

```
CdBiO
1.0
-2.0929 4.2607 -1.2276
0.3619 -4.7580 -7.3392
-6.0657 -3.2160 -0.8206
Cd Bi O
4 4 4
Cartesian
-4.3998 -2.4159 -0.8839
-0.9817 -1.4274 -3.2804
-6.8150 -2.2860 -6.1069
-3.3969 -1.2974 -8.5034
-6.8971 -1.4700 -3.1350
-3.6236 -3.3069 -5.2998
-4.1731 -0.4064 -4.0875
-0.8996 -2.2433 -6.2523
-2.5005 -1.7397 -1.7750
-5.8841 -3.5432 -2.2659
-1.9126 -0.1701 -7.1214
-5.2963 -1.9737 -7.6123
```

Computed properties:
Density of states at the Fermi level (states/eV per cell): 2.6
Volume (Å³ per cell): 269.0
SG: C2/m, No. 12

***

Calculated relative energies: <w> 22; <x> 0, given in meV/atom